1.
# Cs2GeCl5F

A geometry-optimized Cs2GeCl5F structure (PBE-GGA, the Alexandria database).

a b c (Å): 7.4083 7.4083 7.4083
angles (deg): 120.65 120.65 88.87
Element x y z (fractional)
Cs: 0.0000 0.5000 0.5000
Cs: 0.5000 0.0000 0.5000
Ge: 0.2493 0.2493 0.0000
Cl: 0.0219 0.0219 0.5492
Cl: 0.0219 0.4727 0.0000
Cl: 0.4700 0.4700 0.0000
Cl: 0.4727 0.0219 0.0000
Cl: 0.4727 0.4727 0.4508
F: 0.0763 0.0763 0.0000

Calculated values
calculated volume = 31.62 A^3/atom
size of the total moment = 0.0 Bohr magnetons per cell
calculated total energy = -3.568 eV per atom
formation energy from raw total energies = -1.632 eV per atom

=====

2.
# Er4Bi2C

A geometry-optimized Er4Bi2C structure (PBE-GGA, the Alexandria database).

a b c (Å): 6.9456 6.7045 8.7486
angles (deg): 90.00 108.34 90.00
Element x y z (fractional)
Er: 0.0046 0.0015 0.2716
Er: 0.0046 0.4985 0.2716
Er: 0.3718 0.7500 0.0624
Er: 0.4076 0.7500 0.6367
Er: 0.5924 0.2500 0.3633
Er: 0.6282 0.2500 0.9376
Er: 0.9954 0.5015 0.7284
Er: 0.9954 0.9985 0.7284
Bi: 0.2246 0.2500 0.0468
Bi: 0.2906 0.2500 0.5783
Bi: 0.7094 0.7500 0.4217
Bi: 0.7754 0.7500 0.9532
C: 0.2123 0.7500 0.7976
C: 0.7877 0.2500 0.2024

Calculated values
calculated volume = 27.62 A^3/atom
ΔE_f = -497 meV per atom
size of the total moment = 0.0 Bohr magnetons per cell
calculated total energy = -5.531 eV per atom

=====

3.
# BaGa

A geometry-optimized BaGa structure (PBE-GGA, the Alexandria database).

a b c (Å): 8.0939 8.0939 8.0939
angles (deg): 93.80 93.80 150.15
Element x y z (fractional)
Ba: 0.1577 0.1577 0.3154
Ba: 0.1577 0.8423 0.0000
Ba: 0.8423 0.1577 0.0000
Ba: 0.8423 0.8423 0.6846
Ga: 0.1275 0.5000 0.6275
Ga: 0.5000 0.1275 0.6275
Ga: 0.5000 0.8725 0.3725
Ga: 0.8725 0.5000 0.3725

Calculated values
calculated volume = 31.88 A^3/atom
ΔE_f = -198 meV per atom
size of the total moment = 0.0 Bohr magnetons per cell
calculated total energy = -2.673 eV per atom

=====

4.
# Pu2MnAl

A geometry-optimized Pu2MnAl structure (PBE-GGA, the Alexandria database).

a b c (Å): 3.5891 3.5891 4.8368
angles (deg): 90.00 90.00 90.00
Element x y z (fractional)
Pu: 0.0000 0.5000 0.0000
Pu: 0.5000 0.0000 0.0000
Mn: 0.0000 0.0000 0.5000
Al: 0.5000 0.5000 0.5000

Calculated values
calculated volume = 15.58 A^3/atom
ΔE_f = 231 meV per atom
size of the total moment = 1.3 Bohr magnetons per cell
calculated total energy = -10.163 eV per atom

=====

5.
# BeCoCuGe

A geometry-optimized BeCoCuGe structure (PBE-GGA, the Alexandria database).

a b c (Å): 3.9831 3.9831 3.9831
angles (deg): 60.00 60.00 60.00
Element x y z (fractional)
Be: 0.0000 0.0000 0.0000
Co: 0.2500 0.2500 0.2500
Cu: 0.7500 0.7500 0.7500
Ge: 0.5000 0.5000 0.5000

Calculated values
calculated volume = 11.17 A^3/atom
ΔE_f = -30 meV per atom
size of the total moment = 0.0 Bohr magnetons per cell
calculated total energy = -4.916 eV per atom

=====

6.
# SnHgGePb

A geometry-optimized SnHgGePb structure (PBE-GGA, the Alexandria database).

a b c (Å): 5.3020 5.3020 5.3020
angles (deg): 60.00 60.00 60.00
Element x y z (fractional)
Sn: 0.0000 0.0000 0.0000
Hg: 0.2500 0.2500 0.2500
Ge: 0.7500 0.7500 0.7500
Pb: 0.5000 0.5000 0.5000

Calculated values
calculated volume = 26.35 A^3/atom
ΔE_f = 185 meV per atom
size of the total moment = 0.0 Bohr magnetons per cell
calculated total energy = -2.972 eV per atom

=====

7.
# KSnPdF2

A geometry-optimized KSnPdF2 structure (PBE-GGA, the Alexandria database).

a b c (Å): 4.8080 4.8080 5.0167
angles (deg): 90.00 90.00 90.00
Element x y z (fractional)
K: 0.0000 0.0000 0.0000
Sn: 0.5000 0.5000 0.0000
Pd: 0.5000 0.5000 0.5000
F: 0.0000 0.5000 0.5000
F: 0.5000 0.0000 0.5000

Calculated values
calculated volume = 23.19 A^3/atom
size of the total moment = 0.0 Bohr magnetons per cell
calculated total energy = -3.672 eV per atom
formation energy from raw total energies = -0.865 eV per atom

=====

8.
# BeReAg

A geometry-optimized BeReAg structure (PBE-GGA, the Alexandria database).

a b c (Å): 4.2594 4.2594 2.6652
angles (deg): 90.00 90.00 120.00
Element x y z (fractional)
Be: 0.0000 0.0000 0.0000
Re: 0.6667 0.3333 0.5000
Ag: 0.3333 0.6667 0.0000

Calculated values
calculated volume = 13.96 A^3/atom
ΔE_f = 703 meV per atom
size of the total moment = 0.0 Bohr magnetons per cell
calculated total energy = -5.638 eV per atom

=====

9.
# Pu3Mn2

A geometry-optimized Pu3Mn2 structure (PBE-GGA, the Alexandria database).

a b c (Å): 15.3589 14.8460 5.6599
angles (deg): 84.35 74.14 21.51
Element x y z (fractional)
Pu: 0.1058 0.4796 0.2631
Pu: 0.1178 0.6322 0.6322
Pu: 0.2631 0.6515 0.1058
Pu: 0.3485 0.7369 0.5204
Pu: 0.3678 0.8822 0.8822
Pu: 0.4796 0.1058 0.6515
Pu: 0.5204 0.8942 0.3485
Pu: 0.6322 0.1178 0.1178
Pu: 0.6515 0.2631 0.4796
Pu: 0.7369 0.3485 0.8942
Pu: 0.8822 0.3678 0.3678
Pu: 0.8942 0.5204 0.7369
Mn: 0.0357 0.0357 0.2143
Mn: 0.1258 0.1258 0.6242
Mn: 0.2143 0.2143 0.0357
Mn: 0.3758 0.3758 0.8742
Mn: 0.6242 0.6242 0.1258
Mn: 0.7857 0.7857 0.9643
Mn: 0.8742 0.8742 0.3758
Mn: 0.9643 0.9643 0.7857

Calculated values
calculated volume = 20.42 A^3/atom
ΔE_f = 251 meV per atom
size of the total moment = 46.4 Bohr magnetons per cell
calculated total energy = -12.016 eV per atom

=====

10.
# FeCu4Cl

A geometry-optimized FeCu4Cl structure (PBE-GGA, the Alexandria database).

a b c (Å): 4.9464 4.9464 4.9464
angles (deg): 60.00 60.00 60.00
Element x y z (fractional)
Fe: 0.0000 0.0000 0.0000
Cu: 0.1238 0.6254 0.6254
Cu: 0.6254 0.1238 0.6254
Cu: 0.6254 0.6254 0.1238
Cu: 0.6254 0.6254 0.6254
Cl: 0.2500 0.2500 0.2500

Calculated values
calculated volume = 14.26 A^3/atom
size of the total moment = 3.2 Bohr magnetons per cell
calculated total energy = -3.982 eV per atom
formation energy from raw total energies = 0.467 eV per atom

=====

11.
# Sr3PaBi4

A geometry-optimized Sr3PaBi4 structure (PBE-GGA, the Alexandria database).

a b c (Å): 8.1868 9.5896 8.2344
angles (deg): 90.00 110.01 90.00
Element x y z (fractional)
Sr: 0.0000 0.1204 0.2500
Sr: 0.0000 0.3745 0.7500
Sr: 0.0000 0.6255 0.2500
Sr: 0.0000 0.8796 0.7500
Sr: 0.5000 0.1243 0.7500
Sr: 0.5000 0.8757 0.2500
Pa: 0.5000 0.3732 0.2500
Pa: 0.5000 0.6268 0.7500
Bi: 0.2648 0.1418 0.0181
Bi: 0.2648 0.8582 0.5181
Bi: 0.2790 0.3899 0.4991
Bi: 0.2790 0.6101 0.9991
Bi: 0.7210 0.3899 0.0009
Bi: 0.7210 0.6101 0.5009
Bi: 0.7352 0.1418 0.4819
Bi: 0.7352 0.8582 0.9819

Calculated values
calculated volume = 37.96 A^3/atom
ΔE_f = -629 meV per atom
size of the total moment = 0.0 Bohr magnetons per cell
calculated total energy = -4.387 eV per atom

=====

12.
# Na2GePbBr6

A geometry-optimized Na2GePbBr6 structure (PBE-GGA, the Alexandria database).

a b c (Å): 7.5015 7.5057 7.9927
angles (deg): 118.00 90.02 119.96
Element x y z (fractional)
Na: 0.0000 0.0000 0.0000
Na: 0.4934 0.9860 0.4787
Ge: 0.8087 0.6169 0.4228
Pb: 0.3017 0.6049 0.9063
Br: 0.0754 0.4881 0.1878
Br: 0.1835 0.0723 0.6724
Br: 0.4123 0.1118 0.1874
Br: 0.6004 0.7843 0.6731
Br: 0.7006 0.7754 0.1882
Br: 0.8893 0.4893 0.6731

Calculated values
calculated volume = 32.76 A^3/atom
size of the total moment = 0.0 Bohr magnetons per cell
calculated total energy = -3.154 eV per atom
formation energy from raw total energies = -1.054 eV per atom